# 1
! CaMgCl2 (SCAN, single point on PBEsol structure); values from VASP
&SYSTEM
  ibrav = 0, nat = 4, ntyp = 3
/
ATOMIC_SPECIES
Ca 40.08 Ca.upf
Mg 24.30 Mg.upf
Cl 35.45 Cl.upf
CELL_PARAMETERS angstrom
-1.9129 3.0747 4.8764
1.9129 -3.0747 4.8764
1.9129 3.0747 -4.8764
ATOMIC_POSITIONS crystal
Ca 0.0000 0.0000 0.0000
Mg 0.5000 0.5000 0.0000
Cl 0.1876 0.6876 0.5000
Cl 0.8124 0.3124 0.5000
! Energy above the most stable polymorph in this dataset (meV/atom): 214
! Raw formation energy (meV per atom): -1442

=====

# 2
! CaMgPCl2 (SCAN, single point on PBEsol structure); values from VASP
&SYSTEM
  ibrav = 0, nat = 5, ntyp = 4
/
ATOMIC_SPECIES
Ca 40.08 Ca.upf
Mg 24.30 Mg.upf
P 30.97 P.upf
Cl 35.45 Cl.upf
CELL_PARAMETERS angstrom
4.7208 0.0000 0.0000
0.0000 4.7208 0.0000
0.0000 0.0000 5.2483
ATOMIC_POSITIONS crystal
Ca 0.0000 0.0000 0.0000
Mg 0.5000 0.5000 0.5000
P 0.5000 0.5000 0.0000
Cl 0.0000 0.5000 0.5000
Cl 0.5000 0.0000 0.5000
! Raw formation energy (meV per atom): -1218

=====

# 3
! CaMnCl3 (SCAN, single point on PBEsol structure); values from VASP
&SYSTEM
  ibrav = 0, nat = 5, ntyp = 3
/
ATOMIC_SPECIES
Ca 40.08 Ca.upf
Mn 54.94 Mn.upf
Cl 35.45 Cl.upf
CELL_PARAMETERS angstrom
4.8309 0.0000 0.0000
0.0000 4.8309 0.0000
0.0000 0.0000 4.8309
ATOMIC_POSITIONS crystal
Ca 0.0000 0.0000 0.0000
Mn 0.5000 0.5000 0.5000
Cl 0.0000 0.5000 0.5000
Cl 0.5000 0.0000 0.5000
Cl 0.5000 0.5000 0.0000
! Raw formation energy (meV per atom): -1410

=====

# 4
! CaMn2Cl (SCAN, single point on PBEsol structure); values from VASP
&SYSTEM
  ibrav = 0, nat = 4, ntyp = 3
/
ATOMIC_SPECIES
Ca 40.08 Ca.upf
Mn 54.94 Mn.upf
Cl 35.45 Cl.upf
CELL_PARAMETERS angstrom
3.2240 0.0000 0.0000
0.0000 3.2240 0.0000
0.0000 0.0000 8.1274
ATOMIC_POSITIONS crystal
Ca 0.0000 0.0000 0.0000
Mn 0.0000 0.0000 0.6002
Mn 0.5000 0.5000 0.7071
Cl 0.5000 0.5000 0.1870
! Raw formation energy (meV per atom): -571

=====

# 5
! Ca4MnCl (SCAN, single point on PBEsol structure); values from VASP
&SYSTEM
  ibrav = 0, nat = 6, ntyp = 3
/
ATOMIC_SPECIES
Ca 40.08 Ca.upf
Mn 54.94 Mn.upf
Cl 35.45 Cl.upf
CELL_PARAMETERS angstrom
0.0000 4.7744 4.7744
4.7744 0.0000 4.7744
4.7744 4.7744 0.0000
ATOMIC_POSITIONS crystal
Ca 0.3762 0.3762 0.3762
Ca 0.3762 0.3762 0.8714
Ca 0.3762 0.8714 0.3762
Ca 0.8714 0.3762 0.3762
Mn 0.7500 0.7500 0.7500
Cl 0.0000 0.0000 0.0000
! Raw formation energy (meV per atom): 270

=====

# 6
! CaMo3Cl (SCAN, single point on PBEsol structure); values from VASP
&SYSTEM
  ibrav = 0, nat = 5, ntyp = 3
/
ATOMIC_SPECIES
Ca 40.08 Ca.upf
Mo 95.94 Mo.upf
Cl 35.45 Cl.upf
CELL_PARAMETERS angstrom
4.6662 0.0000 0.0000
0.0000 4.6662 0.0000
0.0000 0.0000 4.6662
ATOMIC_POSITIONS crystal
Ca 0.0000 0.0000 0.0000
Mo 0.0000 0.0000 0.5000
Mo 0.0000 0.5000 0.0000
Mo 0.5000 0.0000 0.0000
Cl 0.5000 0.5000 0.5000
! Raw formation energy (meV per atom): 3185

=====

# 7
! Ca2MoCl (SCAN, single point on PBEsol structure); values from VASP
&SYSTEM
  ibrav = 0, nat = 4, ntyp = 3
/
ATOMIC_SPECIES
Ca 40.08 Ca.upf
Mo 95.94 Mo.upf
Cl 35.45 Cl.upf
CELL_PARAMETERS angstrom
3.1166 0.0000 0.0000
0.0000 3.1166 0.0000
0.0000 0.0000 10.4552
ATOMIC_POSITIONS crystal
Ca 0.0000 0.0000 0.0000
Ca 0.5000 0.5000 0.3231
Mo 0.5000 0.5000 0.7897
Cl 0.0000 0.0000 0.4713
! Raw formation energy (meV per atom): 184

=====

# 8
! CaMoCl (SCAN, single point on PBEsol structure); values from VASP
&SYSTEM
  ibrav = 0, nat = 3, ntyp = 3
/
ATOMIC_SPECIES
Ca 40.08 Ca.upf
Mo 95.94 Mo.upf
Cl 35.45 Cl.upf
CELL_PARAMETERS angstrom
3.5152 0.0000 0.0000
-1.7576 3.0442 0.0000
0.0000 0.0000 5.5059
ATOMIC_POSITIONS crystal
Ca 0.0000 0.0000 0.0000
Mo 0.6667 0.3333 0.4494
Cl 0.3333 0.6667 0.6648
! Raw formation energy (meV per atom): 158

=====

- Look up the raw formation energy of the sixth one.
  3185 meV per atom